1.
The following is a GGA-PBEsol calculation of an optimized crystal structure of K2Ti6O13, from Alexandria.

a b c (Å): 15.5785 3.7875 9.1190
angles (deg): 90.00 99.69 90.00
Space group C2/m (No. 12)
One atom of each set of equivalent atoms:
K1 0.0456 0.0000 0.2556 x4
Ti1 0.1148 0.5000 0.5967 x4
Ti2 0.1710 0.5000 0.9374 x4
Ti3 0.2323 0.5000 0.2751 x4
O1 0.0000 0.5000 0.5000 x2
O2 0.0771 0.5000 0.7912 x4
O3 0.1342 0.5000 0.1165 x4
O4 0.1417 0.0000 0.6135 x4
O5 0.1673 0.5000 0.4165 x4
O6 0.2032 0.0000 0.9284 x4
O7 0.2392 0.5000 0.7418 x4

## Properties
The uncorrected formation energy comes out at -61.86 eV per formula unit. As for the total magnetization: 0.00 μB/cell. As for the total energy: -8.6810 eV/atom.



2.
The following is a GGA-PBEsol calculation of an optimized crystal structure of K2Ti8O17, from Alexandria.

a b c (Å): 15.7054 3.7709 11.9941
angles (deg): 90.00 95.82 90.00
Space group C2/m (No. 12)
One atom of each set of equivalent atoms:
K1 0.0544 0.0000 0.3042 x4
Ti1 0.1104 0.5000 0.5705 x4
Ti2 0.1521 0.5000 0.8276 x4
Ti3 0.1946 0.5000 0.0757 x4
Ti4 0.2418 0.5000 0.3308 x4
O1 0.0000 0.5000 0.5000 x2
O2 0.0655 0.5000 0.7175 x4
O3 0.1074 0.5000 0.9621 x4
O4 0.1379 0.0000 0.5845 x4
O5 0.1513 0.5000 0.2101 x4
O6 0.1701 0.5000 0.4356 x4
O7 0.1864 0.0000 0.8222 x4
O8 0.2279 0.0000 0.0675 x4
O9 0.2286 0.5000 0.6822 x4

## Properties
The uncorrected formation energy comes out at -79.91 eV per formula unit. As for the total magnetization: 0.00 μB/cell. As for the total energy: -8.8146 eV/atom.